No. 1
LiTeRh2 | PBE-GGA | optimized geometry

Output
DOS(E_F)   3.4 states/eV/f.u.
Formation energy from raw total energies   59.3 meV/atom
M_tot   0.0 μB per formula unit
V   141.1 Å³ per cell
SG   I-42d
Total DFT energy (no corrections)   -39.042 eV for the cell shown
Crystal system   tetragonal

Unit cell a=7.0574 b=7.0574 c=5.7385 alpha=52.05 beta=52.05 gamma=90.00
Positions (direct):
Te  0.0000  0.0000  0.0000
Te  0.7500  0.2500  0.5000
Rh  0.6397  0.1250  0.2500
Rh  0.1103  0.6250  0.2500
Rh  0.3750  0.3603  0.7500
Rh  0.8750  0.8897  0.7500
Li  0.5000  0.5000  0.0000
Li  0.2500  0.7500  0.5000

=====

No. 2
Gd2BeZn | PBE-GGA | optimized geometry

Output
Energy relative to the lowest polymorph listed for this composition   0 meV/atom
DOS(E_F)   3.1 states/eV/f.u.
M_tot   14.7 μB per formula unit
V   87.3 Å³ per cell
SG   P4/mmm
ΔE_f   -0.116 eV per atom
Total DFT energy (no corrections)   -33.626 eV for the cell shown
Crystal system   tetragonal

Unit cell a=3.4975 b=3.4975 c=7.1376 alpha=90.00 beta=90.00 gamma=90.00
Positions (direct):
Be  0.5000  0.5000  0.5000
Zn  0.5000  0.5000  0.0000
Gd  0.0000  0.0000  0.7343
Gd  0.0000  0.0000  0.2657

=====

No. 3
SnSeO2 | PBE-GGA | optimized geometry

Output
Energy relative to the lowest polymorph listed for this composition   235 meV/atom
DOS(E_F)   0.6 states/eV/f.u.
Formation energy from raw total energies   -412.8 meV/atom
M_tot   0.0 μB per formula unit
V   153.1 Å³ per cell
SG   I-42d
Total DFT energy (no corrections)   -38.110 eV for the cell shown
Crystal system   tetragonal

Unit cell a=5.9499 b=5.9499 c=6.0335 alpha=60.46 beta=60.46 gamma=90.00
Positions (direct):
O  0.7540  0.1250  0.2500
O  0.9960  0.6250  0.2500
O  0.3750  0.2460  0.7500
O  0.8750  0.0040  0.7500
Sn  0.0000  0.0000  0.0000
Sn  0.7500  0.2500  0.5000
Se  0.5000  0.5000  0.0000
Se  0.2500  0.7500  0.5000

=====

No. 4
ThZnGa2Co4 | PBE-GGA | optimized geometry

Output
DOS(E_F)   5.7 states/eV/f.u.
M_tot   0.0 μB per formula unit
V   115.1 Å³ per cell
SG   R-3m
ΔE_f   -0.240 eV per atom
Total DFT energy (no corrections)   -45.092 eV for the cell shown
Crystal system   trigonal

Unit cell a=4.0420 b=4.0420 c=8.4614 alpha=76.18 beta=76.18 gamma=60.00
Positions (direct):
Th  0.0000  0.0000  0.0000
Zn  0.5000  0.5000  0.5000
Ga  0.7644  0.7644  0.7067
Ga  0.2356  0.2356  0.2933
Co  0.4017  0.4017  0.7950
Co  0.8709  0.8709  0.3873
Co  0.1291  0.1291  0.6127
Co  0.5983  0.5983  0.2050